This record from Alexandria via LeMat-Bulk describes crystalline AlV2Se at its relaxed geometry. The functional is GGA-PBE.

a = 4.371 Å, b = 4.371 Å, c = 4.371 Å
α = 60.00°, β = 60.00°, γ = 60.00°
Positions (direct):
Al 0.000 0.000 0.000
Se 0.500 0.500 0.500
V 0.250 0.250 0.250
V 0.750 0.750 0.750

Output
uncorrected formation energy = 0.59 eV/f.u.